Tb3Pm3Mg (PBE, relaxed); final energy = -4.23 eV per atom; size of the total moment = 0.1 μB/cell; distance to the lowest polymorph of the same formula = 0.00 eV/f.u.; ΔH_f (0 K) = 15 meV per atom
1.0
-1.254 3.495 -4.280
5.102 -5.468 -5.959
-9.307 -1.740 1.306
Tb Pm Mg
6 6 2
Direct
0.250 0.237 0.184 Tb
0.750 0.054 0.237 Tb
0.750 0.763 0.816 Tb
0.750 0.183 0.946 Tb
0.250 0.946 0.763 Tb
0.250 0.817 0.054 Tb
0.750 0.629 0.102 Pm
0.250 0.102 0.473 Pm
0.250 0.371 0.898 Pm
0.750 0.898 0.527 Pm
0.750 0.474 0.371 Pm
0.250 0.526 0.629 Pm
0.750 0.333 0.667 Mg
0.250 0.667 0.333 Mg



CaTlAg2 (PBE, relaxed); final energy = -2.68 eV per atom; size of the total moment = 0.0 μB/cell; ΔH_f (0 K) = -160 meV per atom
1.0
4.307 0.000 0.000
0.000 4.686 0.000
0.000 0.000 4.686
Tl Ca Ag
1 1 2
Direct
0.500 0.000 0.000 Tl
0.500 0.500 0.500 Ca
0.000 0.000 0.500 Ag
0.000 0.500 0.000 Ag



AcThCoCl (PBE, relaxed); final energy = -5.94 eV per atom; size of the total moment = 0.0 μB/cell; ΔE_f (raw) = -3.28 eV per formula unit
1.0
4.092 0.000 0.000
-2.045 3.542 0.001
-2.045 -1.178 7.883
Cl Th Ac Co
1 1 1 1
Direct
0.960 0.378 0.353 Cl
0.093 0.944 0.053 Th
0.504 0.150 0.670 Ac
0.320 0.558 0.894 Co